No. 1
Below is crystalline NaInRhF6 at its relaxed geometry, with properties calculated at the PBE level.

Properties
Electronic total energy = -4.571 eV/atom
Uncorrected formation energy = -2.056 eV/atom
Space group = No. 163
D(E_F) = 0.72 states/eV/atom

Unit cell a=5.6599 b=5.6599 c=9.6565 alpha=90.00 beta=90.00 gamma=120.00
Fractional positions:
Na1 0.0000 0.0000 0.0000
Na2 0.0000 0.0000 0.5000
In1 0.3333 0.6667 0.2500
In2 0.6667 0.3333 0.7500
Rh1 0.3333 0.6667 0.7500
Rh2 0.6667 0.3333 0.2500
F1 0.0064 0.3539 0.1352
F2 0.0064 0.6525 0.3648
F3 0.3475 0.3539 0.3648
F4 0.3475 0.9936 0.1352
F5 0.3539 0.0064 0.6352
F6 0.3539 0.3475 0.8648
F7 0.6461 0.6525 0.1352
F8 0.6461 0.9936 0.3648
F9 0.6525 0.0064 0.8648
F10 0.6525 0.6461 0.6352
F11 0.9936 0.3475 0.6352
F12 0.9936 0.6461 0.8648

No. 2
Below is crystalline Na2InRuF at its relaxed geometry, with properties calculated at the PBE level.

Properties
Electronic total energy = -3.125 eV/atom
Uncorrected formation energy = 0.180 eV/atom
Space group = No. 123
D(E_F) = 0.26 states/eV/atom

Unit cell a=5.6578 b=5.6578 c=5.0432 alpha=90.00 beta=90.00 gamma=90.00
Fractional positions:
Na1 0.0000 0.5000 0.0000
Na2 0.5000 0.0000 0.0000
In1 0.0000 0.0000 0.5000
Ru1 0.0000 0.0000 0.0000
F1 0.5000 0.5000 0.5000

No. 3
Below is crystalline NaInS2F at its relaxed geometry, with properties calculated at the PBE level.

Properties
Electronic total energy = -2.607 eV/atom
Uncorrected formation energy = 0.229 eV/atom
Space group = No. 123
D(E_F) = 1.05 states/eV/atom

Unit cell a=4.7670 b=4.7670 c=7.6366 alpha=90.00 beta=90.00 gamma=90.00
Fractional positions:
Na1 0.0000 0.0000 0.0000
In1 0.0000 0.0000 0.5000
S1 0.0000 0.5000 0.0000
S2 0.5000 0.0000 0.0000
F1 0.5000 0.5000 0.5000

No. 4
Below is crystalline NaInSF2 at its relaxed geometry, with properties calculated at the PBE level.

Properties
Electronic total energy = -4.284 eV/atom
Uncorrected formation energy = -1.899 eV/atom
Space group = No. 11
D(E_F) = 0.00 states/eV/atom

Unit cell a=6.5883 b=3.9511 c=7.6059 alpha=90.00 beta=114.70 gamma=90.00
Fractional positions:
Na1 0.1734 0.2500 0.4403
Na2 0.8266 0.7500 0.5597
In1 0.2404 0.2500 0.9673
In2 0.7596 0.7500 0.0327
S1 0.4603 0.7500 0.1846
S2 0.5397 0.2500 0.8154
F1 0.0156 0.2500 0.1163
F2 0.0176 0.2500 0.6607
F3 0.9824 0.7500 0.3393
F4 0.9844 0.7500 0.8837

No. 5
Below is crystalline Na2InSbF at its relaxed geometry, with properties calculated at the PBE level.

Properties
Electronic total energy = -3.395 eV/atom
Uncorrected formation energy = -1.121 eV/atom
Space group = No. 123
D(E_F) = 0.04 states/eV/atom

Unit cell a=4.5544 b=4.5544 c=5.3983 alpha=90.00 beta=90.00 gamma=90.00
Fractional positions:
Na1 0.0000 0.5000 0.0000
Na2 0.5000 0.0000 0.0000
In1 0.0000 0.0000 0.5000
Sb1 0.5000 0.5000 0.5000
F1 0.0000 0.0000 0.0000

No. 6
Below is crystalline NaScIn2F6 at its relaxed geometry, with properties calculated at the PBE level.

Properties
Electronic total energy = -5.244 eV/atom
Uncorrected formation energy = -2.808 eV/atom
Space group = No. 146
D(E_F) = 0.00 states/eV/atom

Unit cell a=6.2009 b=6.2009 c=6.2009 alpha=59.97 beta=59.97 gamma=59.97
Fractional positions:
Na1 0.0000 0.0000 0.0000
Sc1 0.4962 0.4962 0.4962
In1 0.2687 0.2687 0.2687
In2 0.7661 0.7661 0.7661
F1 0.2448 0.7189 0.7362
F2 0.2515 0.7077 0.2718
F3 0.2718 0.2515 0.7077
F4 0.7077 0.2718 0.2515
F5 0.7189 0.7362 0.2448
F6 0.7362 0.2448 0.7189